Entry from Alexandria: crystalline Sc2CdRe at its relaxed geometry (PBE).

Calculated formation energy (eV per formula unit): 2.75
Symmetry: I-42d

Unit cell a=4.189 b=4.189 c=19.201 alpha=90.00 beta=90.00 gamma=90.00
Sites, in units of the cell vectors:
Sc 0.230 0.250 0.125
Sc 0.250 0.730 0.375
Sc 0.250 0.770 0.875
Sc 0.270 0.250 0.625
Sc 0.730 0.750 0.625
Sc 0.750 0.230 0.875
Sc 0.750 0.270 0.375
Sc 0.770 0.750 0.125
Cd 0.000 0.000 0.500
Cd 0.000 0.500 0.750
Cd 0.500 0.000 0.250
Cd 0.500 0.500 0.000
Re 0.000 0.000 0.000
Re 0.000 0.500 0.250
Re 0.500 0.000 0.750
Re 0.500 0.500 0.500

---

Entry from Alexandria: crystalline Sc2CdRe at its relaxed geometry (PBE).

Calculated formation energy (eV per formula unit): -0.21
Symmetry: P4/mmm

Unit cell a=4.689 b=4.689 c=3.472 alpha=90.00 beta=90.00 gamma=90.00
Sites, in units of the cell vectors:
Sc 0.000 0.500 0.000
Sc 0.500 0.000 0.000
Cd 0.000 0.000 0.500
Re 0.500 0.500 0.500